First-principles (GGA+U) data for a relaxed Sm2AlMoO6 crystal, as listed in Alexandria via LeMat-Bulk.

- N(E_F) (states/eV per atom) = 0.00
- energy (eV/atom) = -7.914
- calculated volume (Å³/cell) = 241.9

abc: 5.442 5.681 9.515
angles: 90.00 124.69 90.00
Space group P2_1/c (No. 14)
Unique sites:
Sm: 0.234 0.058 0.250 x4
Al: 0.000 0.000 0.500 x2
Mo: 0.500 0.000 0.000 x2
O: 0.127 0.215 0.943 x4
O: 0.236 0.688 0.949 x4
O: 0.338 0.036 0.735 x4